1.
This record from the Alexandria database describes crystalline PmEr4As5 at its relaxed geometry. The functional is PBE.

```
PmEr4As5
1.0
-2.0575 2.9104 10.2823
2.0575 -2.9104 10.2823
2.0575 2.9104 -10.2823
Pm Er As
1 4 5
Direct
0.0000 0.0000 0.0000 Pm
0.2016 0.2016 0.0000 Er
0.3994 0.3994 0.0000 Er
0.6006 0.6006 0.0000 Er
0.7984 0.7984 0.0000 Er
0.1036 0.6036 0.5000 As
0.3004 0.8004 0.5000 As
0.5000 0.0000 0.5000 As
0.6996 0.1996 0.5000 As
0.8964 0.3964 0.5000 As
```

Computed properties:
DFT formation energy: -1.514 eV per atom
Total energy: -6.139 eV per atom
Mass density: 8.01 g/cm3


2.
This record from the Alexandria database describes crystalline PmEr5As6 at its relaxed geometry. The functional is PBE.

```
PmEr5As6
1.0
3.5592 -6.1639 0.0000
3.5592 6.1639 0.0000
-2.3713 0.0000 6.7103
Pm Er As
1 5 6
Direct
0.0000 0.0000 0.0000 Pm
0.1653 0.8347 0.5000 Er
0.3329 0.6671 0.0000 Er
0.5000 0.5000 0.5000 Er
0.6671 0.3329 0.0000 Er
0.8347 0.1653 0.5000 Er
0.0846 0.4231 0.2535 As
0.2544 0.2544 0.7474 As
0.4231 0.0846 0.2535 As
0.5769 0.9154 0.7465 As
0.7456 0.7456 0.2526 As
0.9154 0.5769 0.7465 As
```

Computed properties:
DFT formation energy: -1.515 eV per atom
Total energy: -6.137 eV per atom
Mass density: 8.07 g/cm3